## a
Below is an optimized crystal structure of TiInS2Cl, with properties calculated at the PBE level.

```
TiInS2Cl
1.0
-1.611 -3.715 -3.015
4.780 -1.389 -0.843
-0.203 -3.029 3.841
Cl S Ti In
1 2 1 1
direct
0.000 0.000 0.500
0.000 0.500 0.000
0.500 0.000 0.000
0.500 0.500 0.500
0.000 0.000 0.000
```

=====

## b
Below is an optimized crystal structure of TiInS2Cl, with properties calculated at the PBE level.

```
TiInS2Cl
1.0
4.762 0.000 0.000
0.000 4.762 0.000
0.000 0.000 4.984
Cl S Ti In
1 2 1 1
direct
0.000 0.000 0.500
0.000 0.500 0.000
0.500 0.000 0.000
0.000 0.000 0.000
0.500 0.500 0.500
```

=====

If you had to name the least stable structure above, which would it be? It would be a.